An optimized crystal structure of Pu2AuN, computed with PBE-GGA.

Values from the calculation:
ΔE_f (raw)	-0.69	eV per atom
space-group type	No. 166
Fermi-level density of states	14.1	states/eV per cell
calculated total energy	-10.758	eV per atom

Cell lengths 3.5016, 3.5016, 7.9046 Å; angles 77.20, 77.20, 60.00 degrees
Closest atoms and distances in Å follow each position.
Sites, in units of the cell vectors:
Pu 0.2720 0.2720 0.1839  3 N 2.46
Pu 0.7280 0.7280 0.8161  3 N 2.46
N 0.0000 0.0000 0.0000  6 Pu 2.46
Au 0.5000 0.5000 0.5000  6 Pu 3.15, 6 Au 3.50

---

An optimized crystal structure of TcPHOs, computed with PBE-GGA.

Values from the calculation:
space-group type	No. 25
Fermi-level density of states	1.6	states/eV per cell
calculated total energy	-7.627	eV per atom

Cell lengths 2.9119, 2.9749, 5.4460 Å; angles 90.00, 90.00, 90.00 degrees
Closest atoms and distances in Å follow each position.
Sites, in units of the cell vectors:
H 0.5000 0.0000 0.6383  2 Tc 1.75
P 0.0000 0.5000 0.4525  4 H 2.31, 2 Os 2.33, 2 Tc 2.42
Os 0.0000 0.0000 0.1220  2 P 2.33
Tc 0.5000 0.5000 0.8073  2 H 1.75

---

An optimized crystal structure of LiReAs2, computed with PBE-GGA.

Values from the calculation:
formation energy	549	meV per atom
space-group type	No. 216
Fermi-level density of states	4.5	states/eV per cell
calculated total energy	-5.366	eV per atom

Cell lengths 4.4349, 4.4349, 4.4349 Å; angles 60.00, 60.00, 60.00 degrees
Closest atoms and distances in Å follow each position.
Sites, in units of the cell vectors:
Li 0.5000 0.5000 0.5000  4 As 2.72, 4 Re 2.72
As 0.0000 0.0000 0.0000  4 Re 2.72, 4 As 2.72
As 0.2500 0.2500 0.2500  4 As 2.72, 4 Li 2.72
Re 0.7500 0.7500 0.7500  4 As 2.72, 4 Li 2.72

---

An optimized crystal structure of Li3TbHg2, computed with PBE-GGA.

Values from the calculation:
formation energy	-305	meV per atom
space-group type	No. 12
Fermi-level density of states	7.3	states/eV per cell
calculated total energy	-2.135	eV per atom

Cell lengths 4.1833, 7.7305, 9.5367 Å; angles 122.15, 90.00, 105.70 degrees
Closest atoms and distances in Å follow each position.
Sites, in units of the cell vectors:
Hg 0.7954 0.5907 0.2421  5 Li 2.66-2.87
Hg 0.5759 0.1518 0.2181  6 Li 2.86-3.12, 1 Hg 3.15
Hg 0.2046 0.4093 0.7579  5 Li 2.66-2.87
Hg 0.4241 0.8482 0.7819  6 Li 2.86-3.12, 1 Hg 3.15
Li 0.7394 0.4788 0.5862  6 Li 2.78-3.07, 3 Hg 2.87-2.97
Li 0.0644 0.1288 0.4126  5 Li 2.72-3.02, 3 Hg 2.76-2.86
Li 0.9356 0.8712 0.5874  5 Li 2.72-3.02, 3 Hg 2.76-2.86
Li 0.2606 0.5212 0.4138  6 Li 2.78-3.07, 3 Hg 2.87-2.97
Li 0.5749 0.1497 0.6845  3 Hg 2.66-2.86, 3 Li 2.72-2.95
Li 0.4251 0.8503 0.3155  3 Hg 2.66-2.86, 3 Li 2.72-2.95
Tb 0.1236 0.2471 0.9979  7 Hg 3.12-3.31, 4 Li 3.31-3.38
Tb 0.8764 0.7529 0.0021  7 Hg 3.12-3.31, 4 Li 3.31-3.38

---

Number 4 is which compound?
Li3TbHg2